No. 1
Density functional theory data (PBE) for a relaxed structure of Nb2InAuC.

a b c (Å): 4.2987 4.5882 4.2987
angles (deg): 90.00 90.00 90.00
Closest atoms and distances in Å follow each position.
Fractional positions:
Au1 0.5000 0.5000 0.5000  4 In 3.04, 8 Nb 3.14
In1 0.0000 0.5000 0.0000  2 C 2.29
Nb1 0.0000 0.0000 0.5000  2 C 2.15
Nb2 0.5000 0.0000 0.0000  2 C 2.15
C1 0.0000 0.0000 0.0000  4 Nb 2.15, 2 In 2.29

Results
Its density of states at the Fermi level is 0.5646 states/eV per atom. The magnetization comes out at 0.000 μB per cell. As for the formation energy from the elements: 0.177 eV/atom.

No. 2
Density functional theory data (PBE) for a relaxed structure of InAuC2Se.

a b c (Å): 3.9176 6.2347 3.9176
angles (deg): 90.00 90.00 90.00
Closest atoms and distances in Å follow each position.
Fractional positions:
Au1 0.0000 0.5000 0.0000  4 In 2.77
C1 0.5000 0.0000 0.0000  2 Se 1.96
C2 0.0000 0.0000 0.5000  2 Se 1.96
In1 0.5000 0.5000 0.5000  4 Au 2.77
Se1 0.0000 0.0000 0.0000  4 C 1.96

Results
Its density of states at the Fermi level is 0.4750 states/eV per atom. The energy relative to the elements, uncorrected is 2.000 eV per atom. The magnetization comes out at 0.000 μB per cell.